{"formula": "TaFeBiO6", "functional": "GGA+U", "state": "relaxed", "volume_a3_per_cell": 230.8, "space_group": "P4_2nm", "final_energy_ev_per_atom": -7.50, "rho_g_cm3": 7.80, "magmom_total_mub_per_cell": 9.671, "cell": [[4.861, 0.000, 0.000], [0.000, 4.861, 0.000], [0.000, 0.000, 9.766]], "species": ["Ta", "Ta", "Fe", "Fe", "Bi", "Bi", "O", "O", "O", "O", "O", "O", "O", "O", "O", "O", "O", "O"], "frac_coords": [[0.000, 0.000, 0.000], [0.500, 0.500, 0.500], [0.000, 0.000, 0.340], [0.500, 0.500, 0.840], [0.000, 0.000, 0.668], [0.500, 0.500, 0.168], [0.175, 0.175, 0.171], [0.203, 0.203, 0.859], [0.206, 0.206, 0.492], [0.294, 0.706, 0.992], [0.297, 0.703, 0.359], [0.325, 0.675, 0.671], [0.675, 0.325, 0.671], [0.703, 0.297, 0.359], [0.706, 0.294, 0.992], [0.794, 0.794, 0.492], [0.797, 0.797, 0.859], [0.825, 0.825, 0.171]]}